Entry 1:
Material: CoReHg2S
Method: DFT, SCAN
State: single point on PBEsol structure

## Properties
formation energy (no corrections): 623 kJ/mol of formula units
total magnetic moment: 3.6 μB/cell
total DFT energy (no corrections): -227.90 eV per cell
SG: P4/mmm (123)

a = 4.963 Å, b = 4.963 Å, c = 3.925 Å
α = 90.00°, β = 90.00°, γ = 90.00°
Atoms (fractional coordinates):
Co 0.000 0.000 0.000
Re 0.500 0.500 0.500
Hg 0.000 0.500 0.000
Hg 0.500 0.000 0.000
S 0.000 0.000 0.500

***

Entry 2:
Material: FeSbAuF2
Method: DFT, SCAN
State: single point on PBEsol structure

## Properties
formation energy (no corrections): -92 kJ/mol of formula units
total magnetic moment: 3.4 μB/cell
total DFT energy (no corrections): -132.58 eV per cell
SG: P4/mmm (123)

a = 4.120 Å, b = 4.120 Å, c = 5.648 Å
α = 90.00°, β = 90.00°, γ = 90.00°
Atoms (fractional coordinates):
Fe 0.000 0.000 0.000
Sb 0.500 0.500 0.000
Au 0.500 0.500 0.500
F 0.000 0.500 0.500
F 0.500 0.000 0.500

***

Entry 3:
Material: Cu2Au
Method: DFT, SCAN
State: single point on PBEsol structure

## Properties
relative energy among the computed polymorphs: 32 meV/atom
total magnetic moment: 0.0 μB/cell
total DFT energy (no corrections): -199.36 eV per cell
SG: C2/m (12)

a = 5.106 Å, b = 5.106 Å, c = 6.227 Å
α = 106.56°, β = 106.56°, γ = 30.88°
Atoms (fractional coordinates):
Cu 0.157 0.157 0.043
Cu 0.195 0.195 0.632
Cu 0.805 0.805 0.368
Cu 0.843 0.843 0.957
Au 0.477 0.477 0.716
Au 0.523 0.523 0.284

***

Entry 4:
Material: Cs2AlZnHg
Method: DFT, SCAN
State: single point on PBEsol structure

## Properties
total magnetic moment: 0.0 μB/cell
total DFT energy (no corrections): -164.05 eV per cell
SG: P4/mmm (123)

a = 7.129 Å, b = 7.129 Å, c = 4.925 Å
α = 90.00°, β = 90.00°, γ = 90.00°
Atoms (fractional coordinates):
Cs 0.000 0.500 0.000
Cs 0.500 0.000 0.000
Al 0.000 0.000 0.500
Zn 0.500 0.500 0.500
Hg 0.000 0.000 0.000

***

Entry 5:
Material: GaMoP3
Method: DFT, SCAN
State: single point on PBEsol structure

## Properties
total magnetic moment: 0.0 μB/cell
total DFT energy (no corrections): -79.78 eV per cell
SG: Pm-3m (221)

a = 4.665 Å, b = 4.665 Å, c = 4.665 Å
α = 90.00°, β = 90.00°, γ = 90.00°
Atoms (fractional coordinates):
Ga 0.000 0.000 0.000
Mo 0.500 0.500 0.500
P 0.000 0.500 0.500
P 0.500 0.000 0.500
P 0.500 0.500 0.000

***

Entry 6:
Material: ZnGaRh2
Method: DFT, SCAN
State: single point on PBEsol structure

## Properties
total magnetic moment: 0.0 μB/cell
total DFT energy (no corrections): -100.04 eV per cell
SG: Fm-3m (225)

a = 4.206 Å, b = 4.206 Å, c = 4.206 Å
α = 60.00°, β = 60.00°, γ = 60.00°
Atoms (fractional coordinates):
Zn 0.000 0.000 0.000
Ga 0.500 0.500 0.500
Rh 0.250 0.250 0.250
Rh 0.750 0.750 0.750

***

Entry 7:
Material: KSr2Rh
Method: DFT, SCAN
State: single point on PBEsol structure

## Properties
relative energy among the computed polymorphs: 0 meV/atom
total magnetic moment: 0.0 μB/cell
total DFT energy (no corrections): -86.90 eV per cell
SG: C2/m (12)

a = 4.342 Å, b = 4.342 Å, c = 10.736 Å
α = 101.22°, β = 101.22°, γ = 59.93°
Atoms (fractional coordinates):
K 0.000 0.000 0.000
Sr 0.213 0.213 0.643
Sr 0.787 0.787 0.357
Rh 0.500 0.500 0.500

***

Entry 8:
Material: Ba2HgSe
Method: DFT, SCAN
State: single point on PBEsol structure

## Properties
formation energy (no corrections): -518 kJ/mol of formula units
relative energy among the computed polymorphs: 0 meV/atom
total magnetic moment: 0.9 μB/cell
total DFT energy (no corrections): -172.72 eV per cell
SG: R-3m (166)

a = 8.801 Å, b = 8.801 Å, c = 8.801 Å
α = 30.14°, β = 30.14°, γ = 30.14°
Atoms (fractional coordinates):
Ba 0.242 0.242 0.242
Ba 0.758 0.758 0.758
Hg 0.000 0.000 0.000
Se 0.500 0.500 0.500

***

Entry 9:
Material: LiBe3Cl
Method: DFT, SCAN
State: single point on PBEsol structure

## Properties
formation energy (no corrections): 617 kJ/mol of formula units
total magnetic moment: 0.0 μB/cell
total DFT energy (no corrections): -17.03 eV per cell
SG: Pm-3m (221)

a = 4.285 Å, b = 4.285 Å, c = 4.285 Å
α = 90.00°, β = 90.00°, γ = 90.00°
Atoms (fractional coordinates):
Li 0.000 0.000 0.000
Be 0.000 0.000 0.500
Be 0.000 0.500 0.000
Be 0.500 0.000 0.000
Cl 0.500 0.500 0.500

***

Entry 10:
Material: IrAuCl
Method: DFT, SCAN
State: single point on PBEsol structure

## Properties
formation energy (no corrections): 245 kJ/mol of formula units
total magnetic moment: 1.7 μB/cell
total DFT energy (no corrections): -145.70 eV per cell
SG: I4mm (107)

a = 6.483 Å, b = 6.483 Å, c = 6.483 Å
α = 154.45°, β = 154.45°, γ = 36.45°
Atoms (fractional coordinates):
Ir 0.000 0.000 0.000
Au 0.656 0.656 0.000
Cl 0.365 0.365 0.000

***

Entry 11:
Material: Zn2RuCl
Method: DFT, SCAN
State: single point on PBEsol structure

## Properties
formation energy (no corrections): 107 kJ/mol of formula units
relative energy among the computed polymorphs: 0 meV/atom
total magnetic moment: 0.0 μB/cell
total DFT energy (no corrections): -68.73 eV per cell
SG: Cmm2 (35)

a = 2.868 Å, b = 2.868 Å, c = 9.148 Å
α = 90.00°, β = 90.00°, γ = 122.92°
Atoms (fractional coordinates):
Zn 0.000 0.000 0.000
Zn 0.500 0.500 0.248
Ru 0.500 0.500 0.764
Cl 0.000 0.000 0.559

***

Entry 12:
Material: TcAgPt3
Method: DFT, SCAN
State: single point on PBEsol structure

## Properties
total magnetic moment: 4.5 μB/cell
total DFT energy (no corrections): -267.57 eV per cell
SG: Pm-3m (221)

a = 4.739 Å, b = 4.739 Å, c = 4.739 Å
α = 90.00°, β = 90.00°, γ = 90.00°
Atoms (fractional coordinates):
Tc 0.000 0.000 0.000
Ag 0.500 0.500 0.500
Pt 0.000 0.500 0.500
Pt 0.500 0.000 0.500
Pt 0.500 0.500 0.000